Here is a relaxed structure of PrTm2ScSe4 from Alexandria. Energies are from PBE-GGA.

It has space group P2/m (No. 10), with a = 7.010 Å, b = 3.993 Å, c = 7.121 Å, α = 90.00°, β = 108.67° and γ = 90.00°. The inequivalent atoms are Pr at (0.000, 0.000, 0.000), Tm at (0.500, 0.000, 0.500), Tm at (0.500, 0.500, 0.000), Sc at (0.000, 0.500, 0.500), Se at (0.251, 0.000, 0.737) and Se at (0.262, 0.500, 0.267).

Its energy relative to the elements, uncorrected is -160 kJ/mol of atoms. The calculation puts the total energy at -5.912 eV per atom. The magnetization is 0.00 Bohr magnetons per cell.

Here is a relaxed structure of Pr4Y3ScSe8 from Alexandria. Energies are from PBE-GGA.

It has space group R-3m (No. 166, hexagonal axes), with a = 8.2010 Å, b = 8.2010 Å, c = 20.8823 Å, α = 90.00°, β = 90.00° and γ = 120.00°. The inequivalent atoms are Pr at (0.0000, 0.0000, 0.0000), Pr at (0.0000, 0.5000, 0.0000), Y at (0.0000, 0.5000, 0.5000), Sc at (0.0000, 0.0000, 0.5000), Se at (0.0000, 0.0000, 0.2443) and Se at (0.0078, 0.5039, 0.2425).

Its energy relative to the elements, uncorrected is -171 kJ/mol of atoms. The calculation puts the total energy at -6.322 eV per atom. The magnetization is 0.00 Bohr magnetons per cell.

Here is a relaxed structure of Pr3Y3ScSe8 from Alexandria. Energies are from PBE-GGA.

It has space group R-3m (No. 166, hexagonal axes), with a = 8.2372 Å, b = 8.2372 Å, c = 20.5645 Å, α = 90.00°, β = 90.00° and γ = 120.00°. The inequivalent atoms are Pr at (0.0000, 0.5000, 0.0000), Y at (0.0000, 0.5000, 0.5000), Sc at (0.0000, 0.0000, 0.5000), Se at (0.0000, 0.0000, 0.2449) and Se at (0.0057, 0.5029, 0.2437).

Its energy relative to the elements, uncorrected is -177 kJ/mol of atoms. The calculation puts the total energy at -6.362 eV per atom. The magnetization is 0.00 Bohr magnetons per cell.

Here is a relaxed structure of Pr2YScSe4 from Alexandria. Energies are from PBE-GGA.

It has space group P2/m (No. 10), with a = 7.060 Å, b = 4.053 Å, c = 7.331 Å, α = 90.00°, β = 108.57° and γ = 90.00°. The inequivalent atoms are Pr at (0.000, 0.000, 0.000), Pr at (0.500, 0.500, 0.000), Y at (0.000, 0.500, 0.500), Sc at (0.500, 0.000, 0.500), Se at (0.250, 0.000, 0.728) and Se at (0.267, 0.500, 0.277).

Its energy relative to the elements, uncorrected is -169 kJ/mol of atoms. The calculation puts the total energy at -6.288 eV per atom. The magnetization is 0.00 Bohr magnetons per cell.

Here is a relaxed structure of Pr2YScSe6 from Alexandria. Energies are from PBE-GGA.

It has space group P2_1/c (No. 14), with a = 6.897 Å, b = 7.641 Å, c = 12.284 Å, α = 90.00°, β = 123.22° and γ = 90.00°. The inequivalent atoms are Pr at (0.204, 0.105, 0.247), Y at (0.500, 0.000, 0.000), Sc at (0.000, 0.000, 0.500), Se at (0.097, 0.189, 0.931), Se at (0.252, 0.678, 0.932) and Se at (0.385, 0.043, 0.742).

Its energy relative to the elements, uncorrected is -178 kJ/mol of atoms. The calculation puts the total energy at -6.168 eV per atom. The magnetization is 0.00 Bohr magnetons per cell.

Here is a relaxed structure of PrY2ScSe4 from Alexandria. Energies are from PBE-GGA.

It has space group P2/m (No. 10), with a = 7.045 Å, b = 4.042 Å, c = 7.187 Å, α = 90.00°, β = 108.88° and γ = 90.00°. The inequivalent atoms are Pr at (0.000, 0.000, 0.000), Y at (0.500, 0.000, 0.500), Y at (0.500, 0.500, 0.000), Sc at (0.000, 0.500, 0.500), Se at (0.244, 0.000, 0.734) and Se at (0.255, 0.500, 0.266).

Its energy relative to the elements, uncorrected is -165 kJ/mol of atoms. The calculation puts the total energy at -6.459 eV per atom. The magnetization is 0.00 Bohr magnetons per cell.

Here is a relaxed structure of Pr2ScZnSe5 from Alexandria. Energies are from PBE-GGA.

It has space group Cmc2_1 (No. 36), with a = 4.013 Å, b = 17.752 Å, c = 12.286 Å, α = 90.00°, β = 90.00° and γ = 90.00°. The inequivalent atoms are Pr at (0.000, 0.116, 0.000), Pr at (0.000, 0.132, 0.624), Sc at (0.000, 0.201, 0.330), Zn at (0.000, 0.443, 0.767), Se at (0.000, 0.050, 0.378), Se at (0.000, 0.287, 0.981), Se at (0.000, 0.310, 0.673), Se at (0.000, 0.354, 0.316) and Se at (0.000, 0.497, 0.093).

Its energy relative to the elements, uncorrected is -151 kJ/mol of atoms. The calculation puts the total energy at -5.404 eV per atom. The magnetization is 0.00 Bohr magnetons per cell.

Here is a relaxed structure of PrScSi2 from Alexandria. Energies are from PBE-GGA.

It has space group R-3m (No. 166, hexagonal axes), with a = 4.4506 Å, b = 4.4506 Å, c = 15.8736 Å, α = 90.00°, β = 90.00° and γ = 120.00°. The inequivalent atoms are Pr at (0.0000, 0.0000, 0.0000), Sc at (0.0000, 0.0000, 0.5000) and Si at (0.0000, 0.0000, 0.2280).

Its energy relative to the elements, uncorrected is -49 kJ/mol of atoms. The calculation puts the total energy at -5.996 eV per atom. The magnetization is 0.00 Bohr magnetons per cell.

Here is a relaxed structure of PrScSi3 from Alexandria. Energies are from PBE-GGA.

It has space group Cmcm (No. 63), with a = 4.175 Å, b = 24.215 Å, c = 3.910 Å, α = 90.00°, β = 90.00° and γ = 90.00°. The inequivalent atoms are Pr at (0.000, 0.073, 0.250), Sc at (0.000, 0.204, 0.750), Si at (0.000, 0.316, 0.750), Si at (0.000, 0.375, 0.250) and Si at (0.000, 0.473, 0.250).

Its energy relative to the elements, uncorrected is -64 kJ/mol of atoms. The calculation puts the total energy at -6.144 eV per atom. The magnetization is 0.00 Bohr magnetons per cell.

Here is a relaxed structure of Pr5Sc4Si4 from Alexandria. Energies are from PBE-GGA.

It has space group I4/m (No. 87), with a = 12.385 Å, b = 12.385 Å, c = 4.303 Å, α = 90.00°, β = 90.00° and γ = 90.00°. The inequivalent atoms are Pr at (0.000, 0.000, 0.000), Pr at (0.129, 0.201, 0.500), Sc at (0.087, 0.600, 0.500) and Si at (0.064, 0.748, 0.000).

Its energy relative to the elements, uncorrected is -49 kJ/mol of atoms. The calculation puts the total energy at -5.963 eV per atom. The magnetization is 0.09 Bohr magnetons per cell.

Here is a relaxed structure of Pr5ScSi4 from Alexandria. Energies are from PBE-GGA.

It has space group C2/m (No. 12), with a = 15.918 Å, b = 4.977 Å, c = 6.866 Å, α = 90.00°, β = 91.37° and γ = 90.00°. The inequivalent atoms are Pr at (0.000, 0.000, 0.000), Pr at (0.162, 0.500, 0.008), Pr at (0.167, 0.500, 0.509), Sc at (0.000, 0.000, 0.500), Si at (0.007, 0.500, 0.284) and Si at (0.172, 0.000, 0.752).

Its energy relative to the elements, uncorrected is -44 kJ/mol of atoms. The calculation puts the total energy at -5.644 eV per atom. The magnetization is 0.00 Bohr magnetons per cell.

Here is a relaxed structure of PrSc2Si4 from Alexandria. Energies are from PBE-GGA.

It has space group Immm (No. 71), with a = 3.831 Å, b = 4.143 Å, c = 17.014 Å, α = 90.00°, β = 90.00° and γ = 90.00°. The inequivalent atoms are Pr at (0.000, 0.000, 0.000), Sc at (0.000, 0.500, 0.316), Si at (0.000, 0.000, 0.429) and Si at (0.000, 0.500, 0.156).

Its energy relative to the elements, uncorrected is -70 kJ/mol of atoms. The calculation puts the total energy at -6.318 eV per atom. The magnetization is 0.00 Bohr magnetons per cell.

Here is a relaxed structure of Pr2ScSi2 from Alexandria. Energies are from PBE-GGA.

It has space group Immm (No. 71), with a = 4.272 Å, b = 6.061 Å, c = 9.523 Å, α = 90.00°, β = 90.00° and γ = 90.00°. The inequivalent atoms are Pr at (0.000, 0.000, 0.205), Sc at (0.000, 0.500, 0.000) and Si at (0.000, 0.295, 0.500).

Its relative energy among the computed polymorphs is 2.8 kJ/mol of atoms. Its energy relative to the elements, uncorrected is -64 kJ/mol of atoms. The calculation puts the total energy at -6.011 eV per atom. The magnetization is 0.00 Bohr magnetons per cell.

Here is a relaxed structure of PrSc4Si4 from Alexandria. Energies are from PBE-GGA.

It has space group P4_2/n (No. 86, origin choice 2), with a = 8.859 Å, b = 8.859 Å, c = 5.328 Å, α = 90.00°, β = 90.00° and γ = 90.00°. The inequivalent atoms are Pr at (0.250, 0.250, 0.250), Sc at (0.113, 0.633, 0.131) and Si at (0.064, 0.579, 0.644).

Its energy relative to the elements, uncorrected is -52 kJ/mol of atoms. The calculation puts the total energy at -6.298 eV per atom. The magnetization is 0.00 Bohr magnetons per cell.

Here is a relaxed structure of Pr3ScSi4 from Alexandria. Energies are from PBE-GGA.

It has space group Immm (No. 71), with a = 4.354 Å, b = 6.077 Å, c = 15.813 Å, α = 90.00°, β = 90.00° and γ = 90.00°. The inequivalent atoms are Pr at (0.000, 0.000, 0.000), Pr at (0.000, 0.500, 0.193), Sc at (0.000, 0.000, 0.500) and Si at (0.000, 0.308, 0.374).

Its energy relative to the elements, uncorrected is -55 kJ/mol of atoms. The calculation puts the total energy at -5.863 eV per atom. The magnetization is 0.00 Bohr magnetons per cell.

Here is a relaxed structure of Pr2ScSi2 from Alexandria. Energies are from PBE-GGA.

It has space group P4/mbm (No. 127), with a = 7.417 Å, b = 7.417 Å, c = 4.458 Å, α = 90.00°, β = 90.00° and γ = 90.00°. The inequivalent atoms are Pr at (0.178, 0.322, 0.000), Sc at (0.000, 0.000, 0.500) and Si at (0.118, 0.618, 0.500).

Its relative energy among the computed polymorphs is 0.0 kJ/mol of atoms. Its energy relative to the elements, uncorrected is -67 kJ/mol of atoms. The calculation puts the total energy at -6.040 eV per atom. The magnetization is 0.00 Bohr magnetons per cell.

Here is a relaxed structure of Pr2ScSi2 from Alexandria. Energies are from PBE-GGA.

It has space group C2/m (No. 12), with a = 12.140 Å, b = 4.343 Å, c = 10.690 Å, α = 90.00°, β = 118.08° and γ = 90.00°. The inequivalent atoms are Pr at (0.014, 0.000, 0.187), Pr at (0.184, 0.000, 0.599), Sc at (0.227, 0.500, 0.875), Si at (0.004, 0.500, 0.389) and Si at (0.117, 0.500, 0.056).

Its relative energy among the computed polymorphs is 1.6 kJ/mol of atoms. Its energy relative to the elements, uncorrected is -65 kJ/mol of atoms. The calculation puts the total energy at -6.023 eV per atom. The magnetization is 0.00 Bohr magnetons per cell.

Here is a relaxed structure of PrScSi4 from Alexandria. Energies are from PBE-GGA.

It has space group Pbam (No. 55), with a = 8.053 Å, b = 14.680 Å, c = 3.946 Å, α = 90.00°, β = 90.00° and γ = 90.00°. The inequivalent atoms are Pr at (0.123, 0.144, 0.000), Sc at (0.135, 0.412, 0.000), Si at (0.003, 0.698, 0.500), Si at (0.121, 0.550, 0.500), Si at (0.127, 0.960, 0.500) and Si at (0.210, 0.805, 0.500).

Its energy relative to the elements, uncorrected is -46 kJ/mol of atoms. The calculation puts the total energy at -5.939 eV per atom. The magnetization is 0.00 Bohr magnetons per cell.

Here is a relaxed structure of PrScSi2Tc from Alexandria. Energies are from PBE-GGA.

It has space group I-4m2 (No. 119), with a = 4.078 Å, b = 4.078 Å, c = 11.612 Å, α = 90.00°, β = 90.00° and γ = 90.00°. The inequivalent atoms are Pr at (0.000, 0.000, 0.000), Sc at (0.000, 0.500, 0.750), Si at (0.000, 0.000, 0.395) and Tc at (0.000, 0.500, 0.250).

Its energy relative to the elements, uncorrected is -64 kJ/mol of atoms. The calculation puts the total energy at -7.129 eV per atom. The magnetization is 0.00 Bohr magnetons per cell.

Here is a relaxed structure of Pr2Sm8Sc from Alexandria. Energies are from PBE-GGA.

It has space group C2/m (No. 12), with a = 18.399 Å, b = 5.113 Å, c = 8.079 Å, α = 90.00°, β = 105.33° and γ = 90.00°. The inequivalent atoms are Pr at (0.226, 0.000, 0.137), Sm at (0.044, 0.000, 0.231), Sm at (0.089, 0.500, 0.947), Sm at (0.134, 0.000, 0.675), Sm at (0.179, 0.500, 0.409) and Sc at (0.000, 0.500, 0.500).

Its relative energy among the computed polymorphs is 0.0 kJ/mol of atoms. The calculation puts the total energy at -4.848 eV per atom. The magnetization is 0.00 Bohr magnetons per cell.